Below is crystalline SeIF2 at its relaxed geometry, with properties calculated at the PBE level.

Output
The uncorrected formation energy is -964 meV/atom. The space group is P1, No. 1.

Cell and atoms, written as POSCAR:
```
SeIF2
1.0
6.088 0.000 0.000
-2.124 6.046 0.000
-0.761 -1.685 6.168
Se I F
2 2 4
direct
0.000 0.000 0.000
0.112 0.312 0.443
0.386 0.477 0.188
0.719 0.119 0.772
0.258 0.540 0.688
0.325 0.164 0.528
0.793 0.705 0.972
0.917 0.467 0.376
```

---

Below is crystalline SeI2F at its relaxed geometry, with properties calculated at the PBE level.

Output
The uncorrected formation energy is -463 meV/atom. The space group is P2_1/c, No. 14.

Cell and atoms, written as POSCAR:
```
SeI2F
1.0
5.585 0.000 0.000
0.000 13.733 0.000
-5.326 0.000 8.200
Se I F
4 8 4
direct
0.020 0.091 0.001
0.020 0.409 0.501
0.980 0.591 0.499
0.980 0.909 0.999
0.037 0.131 0.265
0.037 0.369 0.765
0.480 0.633 0.752
0.480 0.867 0.252
0.520 0.133 0.748
0.520 0.367 0.248
0.963 0.631 0.235
0.963 0.869 0.735
0.098 0.181 0.510
0.098 0.319 0.010
0.902 0.681 0.990
0.902 0.819 0.490
```

---

Volume in Å³/cell, matching the order above: 227.0 628.9
Calculated total energy in hartree per atom, matching the order above: -0.116 -0.095